{"formula": "Er4Tl2H", "functional": "PBE", "state": "optimized geometry", "lattice_angstrom": [[6.096, 0.000, 0.000], [0.000, 6.679, 0.000], [-2.619, 0.000, 8.539]], "species": ["Er", "Er", "Er", "Er", "Er", "Er", "Er", "Er", "Tl", "Tl", "Tl", "Tl", "H", "H"], "fractional_positions": [[0.180, 0.250, 0.070], [0.263, 0.000, 0.732], [0.263, 0.500, 0.732], [0.280, 0.750, 0.373], [0.720, 0.250, 0.627], [0.737, 0.000, 0.268], [0.737, 0.500, 0.268], [0.820, 0.750, 0.930], [0.207, 0.250, 0.420], [0.345, 0.750, 0.042], [0.655, 0.250, 0.958], [0.793, 0.750, 0.580], [0.074, 0.250, 0.800], [0.926, 0.750, 0.200]], "dft_energy_ha_per_atom": -0.1507, "space_group": "P2_1/m"}